# Pm2In2Pt15 | Alexandria | GGA-PBE | relaxed
# Crystal system ... trigonal
# Energy relative to the elements ... -0.501 eV per atom
data_Pm2In2Pt15
_chemical_formula_sum 'Pm6 In6 Pt45'
_cell_length_a 9.3981
_cell_length_b 9.3981
_cell_length_c 13.5360
_cell_angle_alpha 90.00
_cell_angle_beta 90.00
_cell_angle_gamma 120.00
_symmetry_space_group_name_H-M 'R -3 m'
_symmetry_Int_Tables_number 166
_symmetry_space_group_name_Hall '-R 3 2"'
loop_
_atom_site_label
_atom_site_type_symbol
_atom_site_fract_x
_atom_site_fract_y
_atom_site_fract_z
Pm1 Pm 0.0000 0.0000 0.1448
In1 In 0.0000 0.0000 0.3953
Pt1 Pt 0.0000 0.3207 0.5000
Pt2 Pt 0.0000 0.5000 0.0000
Pt3 Pt 0.0050 0.5025 0.6601